No. 1
84
Lattice="-5.491 8.045 2.697 -12.282 -1.950 -0.249 -4.204 -0.442 11.699" Properties=species:S:1:pos:R:3 comment="GGA-PBE Sr20P12Br3ClO48, relaxed" space_group="P-1 (2)" raw_formation_energy_ev_per_atom=-2.8789 volume_a3_per_fu=1282.8 m_tot_mub_per_cell=0.0 pbc="T T T"
Sr -8.515 1.019 3.434
P -7.820 4.371 2.532
O -17.029 2.212 9.040
Sr -9.289 5.345 12.238
O -10.524 2.164 9.048
P -16.064 3.165 8.255
O -7.067 3.290 6.563
O -12.889 4.680 13.179
P -19.723 5.626 10.419
O -5.050 1.727 6.939
P -10.773 3.711 9.026
P -14.806 2.955 3.039
O -6.457 1.454 4.861
O -8.701 6.893 10.066
O -15.297 2.107 12.281
O -19.619 5.219 11.917
Sr -18.861 6.126 14.150
O -10.641 -0.737 7.963
P -5.913 2.487 5.891
P -2.253 0.026 3.727
P -11.474 6.822 4.694
Sr -10.571 7.334 8.419
O -12.736 6.135 4.098
O -8.789 3.437 3.334
O -3.496 0.638 4.460
O -7.256 5.418 3.536
Br -8.243 -1.196 5.725
O -6.046 0.327 1.853
Sr -5.211 5.864 4.955
O -13.719 3.699 2.207
Sr -3.115 -0.474 -0.004
P -10.502 -1.169 9.453
O -11.744 -0.584 10.209
O -9.240 -0.482 10.048
O -11.192 1.463 3.641
O -14.560 1.409 3.035
O -13.187 2.215 10.813
Br -15.757 6.466 5.424
O -18.481 5.015 9.687
O -7.706 6.523 6.595
O -4.947 3.440 5.106
O -11.453 3.488 5.099
O -14.271 -0.871 7.552
O -16.927 3.926 7.208
O -15.520 4.199 9.286
O -8.257 1.954 11.940
Sr -10.798 1.454 11.532
O -12.193 3.927 8.426
O -9.784 1.725 5.721
O -18.027 0.507 11.440
P -11.203 1.941 5.120
O -10.785 4.190 10.506
P -7.170 2.697 11.108
O -10.233 6.237 3.937
Sr -12.823 1.080 8.514
Sr -8.652 1.106 7.910
O -3.949 5.145 2.707
O -7.167 2.242 9.620
O -9.678 4.437 8.189
O -14.910 2.363 7.584
Br -6.219 -0.814 8.722
O -14.721 0.235 10.611
O -13.275 -1.241 4.080
Sr -11.178 4.199 2.615
Sr -17.383 3.366 11.349
P -14.156 1.281 11.614
O -12.298 1.215 5.958
Sr -11.405 -1.682 5.727
Sr -13.462 4.633 10.713
O -11.335 6.389 6.184
Sr -12.688 0.308 1.909
O -15.930 5.326 12.293
O -2.357 0.433 2.229
O -6.679 3.546 1.865
Cl 0.000 0.000 0.000
Sr -14.834 0.720 5.546
O -7.417 4.244 11.111
Sr -16.765 -0.212 9.191
Sr -13.324 4.546 6.236
Sr -9.153 4.572 5.632
O -14.809 3.410 4.526
Sr -7.142 4.933 8.600
Sr -4.593 2.287 2.797
O -9.088 0.973 0.968

=====

No. 2
4
Lattice="-0.155 -3.705 1.049 3.339 1.915 0.183 -2.657 3.974 6.609" Properties=species:S:1:pos:R:3 comment="GGA-PBE PaBrClO, relaxed" space_group="Cm (8)" raw_formation_energy_ev_per_atom=-2.3945 volume_a3_per_fu=100.9 m_tot_mub_per_cell=1.0 pbc="T T T"
Pa 1.664 -0.212 1.421
Cl 0.582 5.094 5.896
O 0.499 -2.086 1.709
Br -0.960 0.337 2.970

=====

No. 3
10
Lattice="4.148 0.000 0.000 -2.074 8.068 0.589 0.000 -1.122 9.549" Properties=species:S:1:pos:R:3 comment="GGA-PBE Pb2BrClO, relaxed" space_group="C2/m (12)" raw_formation_energy_ev_per_atom=-1.1263 volume_a3_per_fu=161.2 m_tot_mub_per_cell=0.0 pbc="T T T"
Pb 0.000 1.506 9.204
Br 0.000 4.532 3.469
O 0.000 3.850 9.229
Pb 2.074 5.439 0.934
Cl 2.074 6.450 8.091
Br 2.074 2.413 6.669
O 2.074 3.096 0.909
Cl 0.000 0.495 2.047
Pb 2.074 2.238 3.017
Pb 0.000 4.707 7.121